The following is a DFT calculation (PBE-GGA) of crystalline LiPaH8Ir2 at its relaxed geometry.

- DOS at the Fermi energy (states/eV per cell) = 5.506
- symmetry = C2/m, No. 12
- total DFT energy (no corrections) (eV per atom) = -4.873

Lattice parameters (Å, degrees): 4.4719 4.4719 6.2218 112.37 112.37 58.07
Fractional coordinates of all 12 atoms:
Li (0.0000, 0.0000, 0.0000)
Pa (0.5000, 0.5000, 0.5000)
H (0.0476, 0.0476, 0.6847)
H (0.0678, 0.5896, 0.6839)
H (0.2653, 0.2653, 0.1118)
H (0.4104, 0.9322, 0.3161)
H (0.5896, 0.0678, 0.6839)
H (0.7347, 0.7347, 0.8882)
H (0.9322, 0.4104, 0.3161)
H (0.9524, 0.9524, 0.3153)
Ir (0.2879, 0.2879, 0.8556)
Ir (0.7121, 0.7121, 0.1444)

The following is a DFT calculation (PBE-GGA) of crystalline YAu4Se at its relaxed geometry.

- DOS at the Fermi energy (states/eV per cell) = 2.852
- E_form (uncorrected) (kJ per mole of atoms) = -40.5
- symmetry = F-43m, No. 216

Lattice parameters (Å, degrees): 5.6018 5.6018 5.6018 60.00 60.00 60.00
Fractional coordinates of all 6 atoms:
Y (0.0000, 0.0000, 0.0000)
Au (0.1253, 0.6249, 0.6249)
Au (0.6249, 0.1253, 0.6249)
Au (0.6249, 0.6249, 0.1253)
Au (0.6249, 0.6249, 0.6249)
Se (0.2500, 0.2500, 0.2500)

The following is a DFT calculation (PBE-GGA) of crystalline Sc2Pt2Br at its relaxed geometry.

- DOS at the Fermi energy (states/eV per cell) = 2.568
- E_form (uncorrected) (kJ per mole of atoms) = -80.0
- symmetry = I4/mmm, No. 139

Lattice parameters (Å, degrees): 6.2418 6.2418 6.2418 136.58 136.58 63.08
Fractional coordinates of all 5 atoms:
Sc (0.2500, 0.7500, 0.5000)
Sc (0.7500, 0.2500, 0.5000)
Pt (0.1241, 0.1241, 0.0000)
Pt (0.8759, 0.8759, 0.0000)
Br (0.5000, 0.5000, 0.0000)

The following is a DFT calculation (PBE-GGA) of crystalline Sr5Ag at its relaxed geometry.

- DOS at the Fermi energy (states/eV per cell) = 5.887
- polymorph energy (0 for the lowest one) (meV/atom) = 408
- symmetry = F-43m, No. 216
- ΔE_f (meV per atom) = 323

Lattice parameters (Å, degrees): 7.6425 7.6425 7.6425 60.00 60.00 60.00
Fractional coordinates of all 6 atoms:
Sr (0.0000, 0.0000, 0.0000)
Sr (0.1248, 0.6251, 0.6251)
Sr (0.6251, 0.1248, 0.6251)
Sr (0.6251, 0.6251, 0.1248)
Sr (0.6251, 0.6251, 0.6251)
Ag (0.2500, 0.2500, 0.2500)